--- 1 ---
Below is a geometry-optimized Hf2GaH structure, with properties calculated at the PBE level.

a b c (Å): 3.250 5.689 7.552
angles (deg): 112.24 102.55 89.69
Sites, in units of the cell vectors:
Hf1 0.328 0.035 0.235
Hf2 0.029 0.479 0.632
Hf3 0.632 0.081 0.839
Hf4 0.333 0.525 0.236
Ga1 0.692 0.641 0.960
Ga2 0.968 0.918 0.511
H1 0.221 0.171 0.017
H2 0.440 0.389 0.454

---

--- 2 ---
Below is a geometry-optimized Hf2GaH structure, with properties calculated at the PBE level.

a b c (Å): 3.065 3.065 8.570
angles (deg): 79.70 79.70 60.00
Sites, in units of the cell vectors:
H1 0.500 0.500 0.500
Hf1 0.111 0.111 0.668
Hf2 0.889 0.889 0.332
Ga1 0.000 0.000 0.000

---

Sorted by energy, starting with the most stable: 1, 2.